No. 1
The following is a DFT calculation (PBE) of a relaxed structure of Dy3CuNi.

It has space group C2/m (No. 12), with a = 10.095 Å, b = 6.412 Å, c = 7.838 Å, α = 90.00°, β = 113.08° and γ = 90.00°. Symmetry generates all atoms from Dy at (0.008, 0.000, 0.239), Dy at (0.188, 0.500, 0.857), Dy at (0.192, 0.500, 0.333), Cu at (0.000, 0.305, 0.500) and Ni at (0.000, 0.307, 0.000).

The value obtained for the total energy is -4.960 eV per atom. Its density is 8.68 Mg/m³. For the volume, the calculation gives 23.3 Å³ per atom.

***

No. 2
The following is a DFT calculation (PBE) of a relaxed structure of Tl5Sb2Pb5.

It has space group C2/m (No. 12), with a = 16.158 Å, b = 5.581 Å, c = 10.028 Å, α = 90.00°, β = 123.47° and γ = 90.00°. Symmetry generates all atoms from Tl at (0.000, 0.000, 0.000), Tl at (0.089, 0.000, 0.760), Tl at (0.168, 0.000, 0.493), Sb at (0.156, 0.500, 0.017), Pb at (0.000, 0.500, 0.500), Pb at (0.075, 0.500, 0.254) and Pb at (0.245, 0.500, 0.790).

Its density is 10.13 Mg/m³. As for the formation energy (no corrections): 23 meV/atom. For the volume, the calculation gives 31.4 Å³ per atom.

***

No. 3
The following is a DFT calculation (PBE) of a relaxed structure of Tb4Pm5Y3.

It has space group P-1 (No. 2), with a = 6.234 Å, b = 7.201 Å, c = 8.819 Å, α = 90.08°, β = 90.12° and γ = 90.18°. Symmetry generates all atoms from Tb at (0.166, 0.000, 0.166), Tb at (0.333, 0.249, 0.835), Pm at (0.001, 0.249, 0.501), Pm at (0.167, 0.500, 0.166), Pm at (0.500, 0.000, 0.500), Y at (0.334, 0.751, 0.835) and Y at (0.500, 0.500, 0.500).

The value obtained for the total energy is -5.125 eV per atom. Its density is 6.83 Mg/m³. For the volume, the calculation gives 33.0 Å³ per atom.

***

No. 4
The following is a DFT calculation (PBE) of a relaxed structure of Sb2PtBr.

It has space group Immm (No. 71), with a = 3.699 Å, b = 6.384 Å, c = 8.881 Å, α = 90.00°, β = 90.00° and γ = 90.00°. Symmetry generates all atoms from Sb at (0.000, 0.000, 0.214), Pt at (0.000, 0.500, 0.500) and Br at (0.000, 0.500, 0.000).

Its density is 8.21 Mg/m³. As for the polymorph energy (0 for the lowest one): 497.8 meV/atom. As for the formation energy (no corrections): 83 meV/atom. For the volume, the calculation gives 26.2 Å³ per atom.

***

No. 5
The following is a DFT calculation (PBE) of a relaxed structure of ScNi2Pt.

It has space group R-3m (No. 166, hexagonal axes), with a = 2.8232 Å, b = 2.8232 Å, c = 25.2625 Å, α = 90.00°, β = 90.00° and γ = 120.00°. Symmetry generates all atoms from Sc at (0.0000, 0.0000, 0.0000), Ni at (0.0000, 0.0000, 0.2515) and Pt at (0.0000, 0.0000, 0.5000).

The value obtained for the total energy is -6.008 eV per atom. Its density is 10.21 Mg/m³. For the volume, the calculation gives 14.5 Å³ per atom.

***

No. 6
The following is a DFT calculation (PBE) of a relaxed structure of HfNiIr.

It has space group I4mm (No. 107), with a = 3.249 Å, b = 3.249 Å, c = 8.800 Å, α = 90.00°, β = 90.00° and γ = 90.00°. Symmetry generates all atoms from Hf at (0.000, 0.000, 0.000), Ni at (0.000, 0.000, 0.341) and Ir at (0.000, 0.000, 0.670).

Its density is 15.35 Mg/m³. As for the polymorph energy (0 for the lowest one): 193.0 meV/atom. For the volume, the calculation gives 15.5 Å³ per atom.

***

What did the third record say?
The following is a DFT calculation (PBE) of a relaxed structure of Tb4Pm5Y3.

It has space group P-1 (No. 2), with a = 6.234 Å, b = 7.201 Å, c = 8.819 Å, α = 90.08°, β = 90.12° and γ = 90.18°. Symmetry generates all atoms from Tb at (0.166, 0.000, 0.166), Tb at (0.333, 0.249, 0.835), Pm at (0.001, 0.249, 0.501), Pm at (0.167, 0.500, 0.166), Pm at (0.500, 0.000, 0.500), Y at (0.334, 0.751, 0.835) and Y at (0.500, 0.500, 0.500).

The value obtained for the total energy is -5.125 eV per atom. Its density is 6.83 Mg/m³. For the volume, the calculation gives 33.0 Å³ per atom.

***

- density of number 2 (Tl5Sb2Pb5)?
  10.13 Mg/m³

***

- Look up the volume of the third one.
  33.0 Å³ per atom